Rb2InSnSe5: relaxed, PBE.

Unit cell a=11.362 b=11.362 c=14.472 alpha=90.00 beta=90.00 gamma=160.44
Fractional positions:
Rb: 0.117 0.883 0.500
Rb: 0.133 0.867 0.890
Rb: 0.867 0.133 0.390
Rb: 0.883 0.117 0.000
In: 0.223 0.777 0.238
In: 0.777 0.223 0.738
Sn: 0.435 0.565 0.645
Sn: 0.565 0.435 0.145
Se: 0.035 0.965 0.255
Se: 0.289 0.711 0.864
Se: 0.322 0.678 0.607
Se: 0.336 0.664 0.190
Se: 0.485 0.515 0.489
Se: 0.515 0.485 0.989
Se: 0.664 0.336 0.690
Se: 0.678 0.322 0.107
Se: 0.711 0.289 0.364
Se: 0.965 0.035 0.755

D(E_F)   7.6 states/eV/cell

***

RbSr2InSe4: relaxed, PBE.

Unit cell a=8.921 b=8.921 c=8.921 alpha=120.47 beta=118.76 gamma=90.67
Fractional positions:
Rb: 0.500 0.000 0.000
Rb: 0.500 0.500 0.500
Sr: 0.000 0.000 0.000
Sr: 0.000 0.000 0.500
Sr: 0.000 0.500 0.000
Sr: 0.500 0.000 0.500
In: 0.000 0.500 0.500
In: 0.500 0.500 0.000
Se: 0.196 0.712 0.484
Se: 0.243 0.238 0.495
Se: 0.243 0.747 0.005
Se: 0.272 0.288 0.984
Se: 0.728 0.712 0.016
Se: 0.757 0.253 0.995
Se: 0.757 0.762 0.505
Se: 0.804 0.288 0.516

***

Rb2TbInSe4: relaxed, PBE.

Unit cell a=8.861 b=8.861 c=8.861 alpha=120.59 beta=120.28 gamma=89.25
Fractional positions:
Rb: 0.000 0.000 0.000
Rb: 0.500 0.000 0.000
Rb: 0.500 0.000 0.500
Rb: 0.500 0.500 0.500
Tb: 0.000 0.500 0.500
Tb: 0.500 0.500 0.000
In: 0.000 0.000 0.500
In: 0.000 0.500 0.000
Se: 0.195 0.735 0.460
Se: 0.225 0.265 0.960
Se: 0.234 0.266 0.532
Se: 0.234 0.701 0.968
Se: 0.766 0.299 0.032
Se: 0.766 0.734 0.468
Se: 0.775 0.735 0.040
Se: 0.805 0.265 0.540

D(E_F)   0.6 states/eV/cell

***

Rb3Tb3InSe8: relaxed, PBE.

Unit cell a=8.316 b=8.316 c=9.543 alpha=115.83 beta=115.83 gamma=60.00
Fractional positions:
Rb: 0.000 0.000 0.000
Rb: 0.000 0.500 0.000
Rb: 0.500 0.000 0.000
Tb: 0.000 0.500 0.500
Tb: 0.500 0.000 0.500
Tb: 0.500 0.500 0.500
In: 0.000 0.000 0.500
Se: 0.228 0.228 0.692
Se: 0.229 0.736 0.693
Se: 0.264 0.771 0.307
Se: 0.267 0.267 0.303
Se: 0.733 0.733 0.697
Se: 0.736 0.229 0.693
Se: 0.771 0.264 0.307
Se: 0.772 0.772 0.308

D(E_F)   11.2 states/eV/cell

***

Formation energy (no corrections) (computed, kJ/mol of atoms): -63 -124 -115 -137